Entry 1:
BeAlPb2 | PBE-GGA | optimized geometry

Summary:
E_tot: -3.219 eV per atom
space group: No. 166
E above lowest polymorph: 188.9 meV per atom
crystal system: trigonal

Unit cell a=8.313 b=8.313 c=8.313 alpha=25.35 beta=25.35 gamma=25.35
Atoms (fractional coordinates):
1 Pb 0.010 0.010 0.010
2 Pb 0.490 0.490 0.490
3 Be 0.750 0.750 0.750
4 Al 0.250 0.250 0.250

Entry 2:
Y2MnCrAu | PBE-GGA | optimized geometry

Summary:
E_tot: -6.758 eV per atom
space group: No. 123
crystal system: tetragonal

Unit cell a=5.276 b=4.176 c=5.276 alpha=90.00 beta=90.00 gamma=90.00
Atoms (fractional coordinates):
1 Y 0.000 0.000 0.500
2 Y 0.500 0.000 0.000
3 Cr 0.000 0.500 0.000
4 Mn 0.000 0.000 0.000
5 Au 0.500 0.500 0.500

Entry 3:
LiAlAgIr | PBE-GGA | optimized geometry

Summary:
E_tot: -4.720 eV per atom
space group: No. 216
crystal system: cubic

Unit cell a=4.310 b=4.310 c=4.310 alpha=60.00 beta=60.00 gamma=60.00
Atoms (fractional coordinates):
1 Ir 0.750 0.750 0.750
2 Al 0.500 0.500 0.500
3 Ag 0.250 0.250 0.250
4 Li 0.000 0.000 0.000

Entry 4:
NaPmGaBi | PBE-GGA | optimized geometry

Summary:
E_tot: -3.556 eV per atom
space group: No. 216
crystal system: cubic

Unit cell a=5.377 b=5.377 c=5.377 alpha=60.00 beta=60.00 gamma=60.00
Atoms (fractional coordinates):
1 Na 0.250 0.250 0.250
2 Bi 0.000 0.000 0.000
3 Ga 0.500 0.500 0.500
4 Pm 0.750 0.750 0.750

no.,energy of formation from the pure elements (eV/atom)
1,0.5028
2,0.2418
3,-0.3775
4,-0.3115